1.
# La2SmSn2Hg2 | Alexandria via LeMat-Bulk | PBE | relaxed
# magnetic moment	0.0	Bohr magnetons per cell
# crystal system	trigonal
# calculated volume	29.2	Å³ per atom
# formation energy from the elements	-0.3924	eV per atom
data_La2SmSn2Hg2
_space_group_name_H-M_alt 'R -3 m'
_space_group_IT_number 166
_space_group_name_Hall '-R 3 2"'
_cell_length_a 5.0188
_cell_length_b 5.0188
_cell_length_c 28.0702
_cell_angle_alpha 90.00
_cell_angle_beta 90.00
_cell_angle_gamma 120.00
loop_
_atom_site_label
_atom_site_type_symbol
_atom_site_fract_x
_atom_site_fract_y
_atom_site_fract_z
_atom_site_occupancy
La1 La 0.0000 0.0000 0.1314 1
Sm1 Sm 0.0000 0.0000 0.0000 1
Sn1 Sn 0.0000 0.0000 0.2735 1
Hg1 Hg 0.0000 0.0000 0.4236 1

2.
# LaSmSnHg | Alexandria via LeMat-Bulk | PBE | relaxed
# magnetic moment	0.0	Bohr magnetons per cell
# crystal system	cubic
# calculated volume	29.0	Å³ per atom
# formation energy from the elements	-0.6186	eV per atom
data_LaSmSnHg
_space_group_name_H-M_alt 'F -4 3 m'
_space_group_IT_number 216
_space_group_name_Hall 'F -4 2 3'
_cell_length_a 7.7408
_cell_length_b 7.7408
_cell_length_c 7.7408
_cell_angle_alpha 90.00
_cell_angle_beta 90.00
_cell_angle_gamma 90.00
loop_
_atom_site_label
_atom_site_type_symbol
_atom_site_fract_x
_atom_site_fract_y
_atom_site_fract_z
_atom_site_occupancy
La1 La 0.0000 0.0000 0.0000 1
Sm1 Sm 0.0000 0.0000 0.5000 1
Sn1 Sn 0.2500 0.2500 0.7500 1
Hg1 Hg 0.2500 0.2500 0.2500 1

3.
# LaTbSmHg | Alexandria via LeMat-Bulk | PBE | relaxed
# magnetic moment	0.0	Bohr magnetons per cell
# crystal system	cubic
# calculated volume	30.3	Å³ per atom
# formation energy from the elements	-0.0784	eV per atom
# energy relative to the lowest polymorph listed for this composition	152	meV per atom
data_LaTbSmHg
_space_group_name_H-M_alt 'F -4 3 m'
_space_group_IT_number 216
_space_group_name_Hall 'F -4 2 3'
_cell_length_a 7.8530
_cell_length_b 7.8530
_cell_length_c 7.8530
_cell_angle_alpha 90.00
_cell_angle_beta 90.00
_cell_angle_gamma 90.00
loop_
_atom_site_label
_atom_site_type_symbol
_atom_site_fract_x
_atom_site_fract_y
_atom_site_fract_z
_atom_site_occupancy
La1 La 0.0000 0.0000 0.0000 1
Tb1 Tb 0.2500 0.2500 0.7500 1
Sm1 Sm 0.0000 0.0000 0.5000 1
Hg1 Hg 0.2500 0.2500 0.2500 1

4.
# LaTb2SmHg4 | Alexandria via LeMat-Bulk | PBE | relaxed
# magnetic moment	3.7	Bohr magnetons per cell
# crystal system	trigonal
# calculated volume	27.4	Å³ per atom
# formation energy from the elements	-0.4733	eV per atom
data_LaTb2SmHg4
_space_group_name_H-M_alt 'R -3 m'
_space_group_IT_number 166
_space_group_name_Hall '-R 3 2"'
_cell_length_a 5.3665
_cell_length_b 5.3665
_cell_length_c 26.3671
_cell_angle_alpha 90.00
_cell_angle_beta 90.00
_cell_angle_gamma 120.00
loop_
_atom_site_label
_atom_site_type_symbol
_atom_site_fract_x
_atom_site_fract_y
_atom_site_fract_z
_atom_site_occupancy
La1 La 0.0000 0.0000 0.0000 1
Tb1 Tb 0.0000 0.0000 0.2494 1
Sm1 Sm 0.0000 0.0000 0.5000 1
Hg1 Hg 0.0000 0.0000 0.1267 1
Hg2 Hg 0.0000 0.0000 0.3774 1

5.
# La2TbSmHg2 | Alexandria via LeMat-Bulk | PBE | relaxed
# magnetic moment	0.0	Bohr magnetons per cell
# crystal system	orthorhombic
# calculated volume	30.6	Å³ per atom
# formation energy from the elements	-0.3386	eV per atom
data_La2TbSmHg2
_space_group_name_H-M_alt 'P m c 21'
_space_group_IT_number 26
_space_group_name_Hall 'P 2c -2'
_cell_length_a 5.2232
_cell_length_b 9.6828
_cell_length_c 7.2609
_cell_angle_alpha 90.00
_cell_angle_beta 90.00
_cell_angle_gamma 90.00
loop_
_atom_site_label
_atom_site_type_symbol
_atom_site_fract_x
_atom_site_fract_y
_atom_site_fract_z
_atom_site_occupancy
La1 La 0.0000 0.0570 0.0000 1
La2 La 0.5000 0.1712 0.3130 1
Tb1 Tb 0.0000 0.3282 0.6564 1
Sm1 Sm 0.5000 0.4445 0.9734 1
Hg1 Hg 0.0000 0.3628 0.2284 1
Hg2 Hg 0.5000 0.1612 0.7504 1

6.
# LaTbSmHg | Alexandria via LeMat-Bulk | PBE | relaxed
# magnetic moment	0.0	Bohr magnetons per cell
# crystal system	tetragonal
# calculated volume	30.7	Å³ per atom
# formation energy from the elements	-0.2300	eV per atom
# energy relative to the lowest polymorph listed for this composition	0	meV per atom
data_LaTbSmHg
_space_group_name_H-M_alt 'P 4 m m'
_space_group_IT_number 99
_space_group_name_Hall 'P 4 -2'
_cell_length_a 3.7213
_cell_length_b 3.7213
_cell_length_c 8.8605
_cell_angle_alpha 90.00
_cell_angle_beta 90.00
_cell_angle_gamma 90.00
loop_
_atom_site_label
_atom_site_type_symbol
_atom_site_fract_x
_atom_site_fract_y
_atom_site_fract_z
_atom_site_occupancy
La1 La 0.0000 0.0000 0.0000 1
Tb1 Tb 0.5000 0.5000 0.2821 1
Sm1 Sm 0.5000 0.5000 0.7132 1
Hg1 Hg 0.0000 0.0000 0.4896 1

Q: Look up the calculated volume of the third one.
A: 30.3 Å³ per atom

Q: Among the records above, which one has the highest calculated volume?
A: number 6